A) Below is Tm3AgHg2 after structural relaxation, with properties calculated at the GGA-PBE level.

Cell: 3.648 3.648 10.920 Å, 90.00 90.00 90.00°
Space group P4/mmm (No. 123)
Symmetry-distinct sites (fractional):
Tm (0.000, 0.000, 0.000) [1 per cell]
Tm (0.000, 0.000, 0.339) [2 per cell]
Ag (0.500, 0.500, 0.500) [1 per cell]
Hg (0.500, 0.500, 0.168) [2 per cell]

Calculated values
N(E_F) = 4.3 states/eV/f.u.
mass density = 11605 kg/m3

B) Below is Tm3AgHg2 after structural relaxation, with properties calculated at the GGA-PBE level.

Cell: 5.1530 5.1530 12.6215 Å, 90.00 90.00 120.00°
Space group P-3m1 (No. 164)
Symmetry-distinct sites (fractional):
Tm (0.0000, 0.0000, 0.2469) [2 per cell]
Tm (0.3333, 0.6667, 0.4145) [2 per cell]
Tm (0.3333, 0.6667, 0.9178) [2 per cell]
Ag (0.3333, 0.6667, 0.1662) [2 per cell]
Hg (0.0000, 0.0000, 0.0000) [1 per cell]
Hg (0.0000, 0.0000, 0.5000) [1 per cell]
Hg (0.3333, 0.6667, 0.6691) [2 per cell]

Calculated values
N(E_F) = 2.7 states/eV/f.u.
mass density = 11624 kg/m3

Energy comparison, zero being the most stable, in kJ/mol of atoms: A) 0.5; B) 0.0.

A) Below is TmAg3Hg3 after structural relaxation, with properties calculated at the GGA-PBE level.

Cell: 7.2319 7.2319 20.8516 Å, 90.00 90.00 120.00°
Space group R-3 (No. 148, hexagonal axes)
Symmetry-distinct sites (fractional):
Tm (0.0000, 0.0000, 0.1721) [6 per cell]
Ag (0.0447, 0.7813, 0.7034) [18 per cell]
Hg (0.0327, 0.7696, 0.5630) [18 per cell]

Calculated values
N(E_F) = 1.7 states/eV/f.u.
mass density = 11544 kg/m3

B) Below is TmAg3Hg3 after structural relaxation, with properties calculated at the GGA-PBE level.

Cell: 7.611 7.611 7.611 Å, 90.00 90.00 90.00°
Space group Pm-3n (No. 223)
Symmetry-distinct sites (fractional):
Tm (0.000, 0.000, 0.000) [2 per cell]
Ag (0.000, 0.250, 0.500) [6 per cell]
Hg (0.000, 0.500, 0.250) [6 per cell]

Calculated values
N(E_F) = 5.0 states/eV/f.u.
mass density = 8242 kg/m3

Energy comparison, zero being the most stable, in kJ/mol of atoms: A) 0.0; B) 60.0.

A) Below is VAg3Hg after structural relaxation, with properties calculated at the GGA-PBE level.

Cell: 5.063 5.063 5.063 Å, 90.00 90.00 90.00°
Space group Pm-3m (No. 221)
Symmetry-distinct sites (fractional):
V (0.000, 0.000, 0.000) [1 per cell]
Ag (0.000, 0.000, 0.500) [3 per cell]
Hg (0.500, 0.500, 0.500) [1 per cell]

Calculated values
N(E_F) = 6.0 states/eV/f.u.
mass density = 7356 kg/m3

B) Below is VAg3Hg after structural relaxation, with properties calculated at the GGA-PBE level.

Cell: 5.156 5.156 5.156 Å, 90.00 90.00 90.00°
Space group Pm-3m (No. 221)
Symmetry-distinct sites (fractional):
V (0.000, 0.000, 0.000) [1 per cell]
Ag (0.000, 0.500, 0.500) [3 per cell]
Hg (0.500, 0.500, 0.500) [1 per cell]

Calculated values
N(E_F) = 7.2 states/eV/f.u.
mass density = 6966 kg/m3

Energy comparison, zero being the most stable, in kJ/mol of atoms: A) 0.0; B) 1.7.

A) Below is AgHg2W after structural relaxation, with properties calculated at the GGA-PBE level.

Cell: 6.765 6.765 6.765 Å, 90.00 90.00 90.00°
Space group Fm-3m (No. 225)
Symmetry-distinct sites (fractional):
Ag (0.000, 0.000, 0.000) [4 per cell]
Hg (0.250, 0.250, 0.250) [8 per cell]
W (0.000, 0.000, 0.500) [4 per cell]

Calculated values
N(E_F) = 2.2 states/eV/f.u.
mass density = 14862 kg/m3

B) Below is AgHg2W after structural relaxation, with properties calculated at the GGA-PBE level.

Cell: 2.858 5.095 5.418 Å, 90.00 90.00 90.00°
Space group Pmmm (No. 47)
Symmetry-distinct sites (fractional):
Ag (0.000, 0.000, 0.000) [1 per cell]
Hg (0.000, 0.500, 0.500) [1 per cell]
Hg (0.500, 0.500, 0.000) [1 per cell]
W (0.500, 0.000, 0.500) [1 per cell]

Calculated values
N(E_F) = 3.2 states/eV/f.u.
mass density = 14585 kg/m3

Energy comparison, zero being the most stable, in kJ/mol of atoms: A) 8.1; B) 0.0.

A) Below is Ag3HgW after structural relaxation, with properties calculated at the GGA-PBE level.

Cell: 5.154 5.154 5.154 Å, 90.00 90.00 90.00°
Space group Pm-3m (No. 221)
Symmetry-distinct sites (fractional):
Ag (0.000, 0.000, 0.500) [3 per cell]
Hg (0.500, 0.500, 0.500) [1 per cell]
W (0.000, 0.000, 0.000) [1 per cell]

Calculated values
N(E_F) = 4.7 states/eV/f.u.
mass density = 8585 kg/m3

B) Below is Ag3HgW after structural relaxation, with properties calculated at the GGA-PBE level.

Cell: 5.128 5.128 5.128 Å, 90.00 90.00 90.00°
Space group Pm-3m (No. 221)
Symmetry-distinct sites (fractional):
Ag (0.000, 0.000, 0.500) [3 per cell]
Hg (0.000, 0.000, 0.000) [1 per cell]
W (0.500, 0.500, 0.500) [1 per cell]

Calculated values
N(E_F) = 2.8 states/eV/f.u.
mass density = 8717 kg/m3

Energy comparison, zero being the most stable, in kJ/mol of atoms: A) 0.0; B) 11.5.

A) Below is Y2AgHg6 after structural relaxation, with properties calculated at the GGA-PBE level.

Cell: 8.405 8.629 5.918 Å, 90.00 92.45 90.00°
Space group C2/m (No. 12)
Symmetry-distinct sites (fractional):
Y (0.176, 0.000, 0.178) [4 per cell]
Ag (0.000, 0.500, 0.500) [2 per cell]
Hg (0.000, 0.335, 0.000) [4 per cell]
Hg (0.167, 0.167, 0.667) [8 per cell]

Calculated values
N(E_F) = 5.1 states/eV/f.u.
mass density = 11535 kg/m3

B) Below is Y2AgHg6 after structural relaxation, with properties calculated at the GGA-PBE level.

Cell: 9.359 9.359 4.826 Å, 90.00 90.00 90.00°
Space group P4_2/mnm (No. 136)
Symmetry-distinct sites (fractional):
Y (0.191, 0.191, 0.000) [4 per cell]
Ag (0.000, 0.000, 0.500) [2 per cell]
Hg (0.027, 0.334, 0.500) [8 per cell]
Hg (0.142, 0.858, 0.000) [4 per cell]

Calculated values
N(E_F) = 3.4 states/eV/f.u.
mass density = 11701 kg/m3

Energy comparison, zero being the most stable, in kJ/mol of atoms: A) 5.1; B) 0.0.